(1)
Computed, not measured: a relaxed structure of BeCr3Tc at the PBEsol level of DFT.

Output
The calculation puts the density of states at the Fermi level at 3.67 states/eV/f.u. Its total magnetic moment is 7.48 μB per formula unit. The calculation puts the formation energy at 1.766 eV per atom.

CIF file:
```
data_BeCr3Tc
_chemical_formula_sum 'Be1 Cr3 Tc1'
_space_group_name_H-M_alt 'P m -3 m'
_space_group_IT_number 221
_space_group_name_Hall '-P 4 2 3'
_cell_length_a 4.467
_cell_length_b 4.467
_cell_length_c 4.467
_cell_angle_alpha 90.00
_cell_angle_beta 90.00
_cell_angle_gamma 90.00
loop_
_atom_site_label
_atom_site_type_symbol
_atom_site_fract_x
_atom_site_fract_y
_atom_site_fract_z
Be1 Be 0.000 0.000 0.000
Cr1 Cr 0.000 0.500 0.500
Tc1 Tc 0.500 0.500 0.500
```

---

(2)
Computed, not measured: a relaxed structure of ZnSbPt2 at the PBEsol level of DFT.

Output
The calculation puts the density of states at the Fermi level at 0.96 states/eV/f.u. Its total magnetic moment is 0.00 μB per formula unit. For the energy, the calculation gives -5.27 eV/atom.

CIF file:
```
data_ZnSbPt2
_chemical_formula_sum 'Zn2 Sb2 Pt4'
_space_group_name_H-M_alt 'I -4 m 2'
_space_group_IT_number 119
_space_group_name_Hall 'I -4 -2'
_cell_length_a 3.915
_cell_length_b 3.915
_cell_length_c 8.493
_cell_angle_alpha 90.00
_cell_angle_beta 90.00
_cell_angle_gamma 90.00
loop_
_atom_site_label
_atom_site_type_symbol
_atom_site_fract_x
_atom_site_fract_y
_atom_site_fract_z
Zn1 Zn 0.000 0.000 0.000
Sb1 Sb 0.000 0.500 0.250
Pt1 Pt 0.000 0.000 0.500
Pt2 Pt 0.000 0.500 0.750
```

---

(3)
Computed, not measured: a relaxed structure of Li3V2Si2O10 at the PBEsol level of DFT.

Output
The calculation puts the density of states at the Fermi level at 5.91 states/eV/f.u. Its total magnetic moment is 1.00 μB per formula unit. Its polymorph energy (0 for the lowest one) is 0 meV per atom.

CIF file:
```
data_Li3V2Si2O10
_chemical_formula_sum 'Li12 V8 Si8 O40'
_space_group_name_H-M_alt 'C m c e'
_space_group_IT_number 64
_space_group_name_Hall '-C 2ac 2'
_cell_length_a 8.909
_cell_length_b 8.892
_cell_length_c 8.949
_cell_angle_alpha 90.00
_cell_angle_beta 90.00
_cell_angle_gamma 90.00
loop_
_atom_site_label
_atom_site_type_symbol
_atom_site_fract_x
_atom_site_fract_y
_atom_site_fract_z
Li1 Li 0.000 0.000 0.000
Li2 Li 0.250 0.250 0.000
V1 V 0.000 0.241 0.299
Si1 Si 0.250 0.001 0.750
O1 O 0.000 0.231 0.117
O2 O 0.144 0.105 0.858
O3 O 0.150 0.107 0.359
```

---

(4)
Computed, not measured: a relaxed structure of SrMg2Re at the PBEsol level of DFT.

Output
The calculation puts the density of states at the Fermi level at 2.59 states/eV/f.u. Its total magnetic moment is 0.00 μB per formula unit. Its polymorph energy (0 for the lowest one) is 0 meV per atom. The calculation puts the formation energy at 0.586 eV per atom.

CIF file:
```
data_SrMg2Re
_chemical_formula_sum 'Sr2 Mg4 Re2'
_space_group_name_H-M_alt 'C 1 2/m 1'
_space_group_IT_number 12
_cell_length_a 9.919
_cell_length_b 2.855
_cell_length_c 6.044
_cell_angle_alpha 90.00
_cell_angle_beta 95.51
_cell_angle_gamma 90.00
loop_
_space_group_symop_operation_xyz
'x,y,z'
'-x,-y,-z'
'-x,y,-z'
'x,-y,z'
'x+1/2,y+1/2,z'
'-x+1/2,-y+1/2,-z'
'-x+1/2,y+1/2,-z'
'x+1/2,-y+1/2,z'
loop_
_atom_site_label
_atom_site_type_symbol
_atom_site_fract_x
_atom_site_fract_y
_atom_site_fract_z
Sr1 Sr 0.000 0.000 0.000
Mg1 Mg 0.236 0.000 0.698
Re1 Re 0.000 0.500 0.500
```

---

(5)
Computed, not measured: a relaxed structure of CaSi3Ir at the PBEsol level of DFT.

Output
The calculation puts the density of states at the Fermi level at 3.20 states/eV/f.u. Its total magnetic moment is 0.00 μB per formula unit. For the energy, the calculation gives -5.69 eV/atom.

CIF file:
```
data_CaSi3Ir
_chemical_formula_sum 'Ca1 Si3 Ir1'
_space_group_name_H-M_alt 'P m -3 m'
_space_group_IT_number 221
_space_group_name_Hall '-P 4 2 3'
_cell_length_a 4.697
_cell_length_b 4.697
_cell_length_c 4.697
_cell_angle_alpha 90.00
_cell_angle_beta 90.00
_cell_angle_gamma 90.00
loop_
_atom_site_label
_atom_site_type_symbol
_atom_site_fract_x
_atom_site_fract_y
_atom_site_fract_z
Ca1 Ca 0.000 0.000 0.000
Si1 Si 0.000 0.500 0.500
Ir1 Ir 0.500 0.500 0.500
```

---

(6)
Computed, not measured: a relaxed structure of YEr at the PBEsol level of DFT.

Output
The calculation puts the density of states at the Fermi level at 3.55 states/eV/f.u. Its total magnetic moment is 0.00 μB per formula unit. The calculation puts the formation energy at 0.008 eV per atom.

CIF file:
```
data_YEr
_chemical_formula_sum 'Y1 Er1'
_space_group_name_H-M_alt 'P -6 m 2'
_space_group_IT_number 187
_space_group_name_Hall 'P -6 2'
_cell_length_a 3.5483
_cell_length_b 3.5483
_cell_length_c 5.5185
_cell_angle_alpha 90.00
_cell_angle_beta 90.00
_cell_angle_gamma 120.00
loop_
_atom_site_label
_atom_site_type_symbol
_atom_site_fract_x
_atom_site_fract_y
_atom_site_fract_z
Y1 Y 0.0000 0.0000 0.0000
Er1 Er 0.6667 0.3333 0.5000
```

---

(7)
Computed, not measured: a relaxed structure of RbCdS3 at the PBEsol level of DFT.

Output
The calculation puts the density of states at the Fermi level at 6.56 states/eV/f.u. Its total magnetic moment is 0.01 μB per formula unit. For the energy, the calculation gives -3.10 eV/atom.

CIF file:
```
data_RbCdS3
_chemical_formula_sum 'Rb1 Cd1 S3'
_space_group_name_H-M_alt 'P m -3 m'
_space_group_IT_number 221
_space_group_name_Hall '-P 4 2 3'
_cell_length_a 5.038
_cell_length_b 5.038
_cell_length_c 5.038
_cell_angle_alpha 90.00
_cell_angle_beta 90.00
_cell_angle_gamma 90.00
loop_
_atom_site_label
_atom_site_type_symbol
_atom_site_fract_x
_atom_site_fract_y
_atom_site_fract_z
Rb1 Rb 0.000 0.000 0.000
Cd1 Cd 0.500 0.500 0.500
S1 S 0.000 0.500 0.500
```

---

(8)
Computed, not measured: a relaxed structure of TaInSe3 at the PBEsol level of DFT.

Output
The calculation puts the density of states at the Fermi level at 2.27 states/eV/f.u. Its total magnetic moment is 0.00 μB per formula unit. For the energy, the calculation gives -5.76 eV/atom.

CIF file:
```
data_TaInSe3
_chemical_formula_sum 'Ta1 In1 Se3'
_space_group_name_H-M_alt 'P m -3 m'
_space_group_IT_number 221
_space_group_name_Hall '-P 4 2 3'
_cell_length_a 5.021
_cell_length_b 5.021
_cell_length_c 5.021
_cell_angle_alpha 90.00
_cell_angle_beta 90.00
_cell_angle_gamma 90.00
loop_
_atom_site_label
_atom_site_type_symbol
_atom_site_fract_x
_atom_site_fract_y
_atom_site_fract_z
Ta1 Ta 0.000 0.000 0.000
In1 In 0.500 0.500 0.500
Se1 Se 0.000 0.000 0.500
```

---

(9)
Computed, not measured: a relaxed structure of YGe3Au at the PBEsol level of DFT.

Output
The calculation puts the density of states at the Fermi level at 3.13 states/eV/f.u. Its total magnetic moment is 0.00 μB per formula unit. The calculation puts the formation energy at 0.273 eV per atom.

CIF file:
```
data_YGe3Au
_chemical_formula_sum 'Y1 Ge3 Au1'
_space_group_name_H-M_alt 'P m -3 m'
_space_group_IT_number 221
_space_group_name_Hall '-P 4 2 3'
_cell_length_a 4.952
_cell_length_b 4.952
_cell_length_c 4.952
_cell_angle_alpha 90.00
_cell_angle_beta 90.00
_cell_angle_gamma 90.00
loop_
_atom_site_label
_atom_site_type_symbol
_atom_site_fract_x
_atom_site_fract_y
_atom_site_fract_z
Y1 Y 0.000 0.000 0.000
Ge1 Ge 0.000 0.500 0.500
Au1 Au 0.500 0.500 0.500
```

---

(10)
Computed, not measured: a relaxed structure of KCo2Ru at the PBEsol level of DFT.

Output
The calculation puts the density of states at the Fermi level at 4.01 states/eV/f.u. Its total magnetic moment is 3.75 μB per formula unit. Its polymorph energy (0 for the lowest one) is 425 meV per atom. The calculation puts the formation energy at 1.197 eV per atom.

CIF file:
```
data_KCo2Ru
_chemical_formula_sum 'K2 Co4 Ru2'
_space_group_name_H-M_alt 'C m m m'
_space_group_IT_number 65
_space_group_name_Hall '-C 2 2'
_cell_length_a 6.750
_cell_length_b 6.778
_cell_length_c 2.563
_cell_angle_alpha 90.00
_cell_angle_beta 90.00
_cell_angle_gamma 90.00
loop_
_atom_site_label
_atom_site_type_symbol
_atom_site_fract_x
_atom_site_fract_y
_atom_site_fract_z
K1 K 0.000 0.000 0.000
Co1 Co 0.250 0.250 0.500
Ru1 Ru 0.000 0.500 0.000
```

---

(11)
Computed, not measured: a relaxed structure of Li2AlSbIr at the PBEsol level of DFT.

Output
The calculation puts the density of states at the Fermi level at 3.80 states/eV/f.u. Its total magnetic moment is 0.00 μB per formula unit. For the energy, the calculation gives -4.26 eV/atom.

CIF file:
```
data_Li2AlSbIr
_chemical_formula_sum 'Li2 Al1 Sb1 Ir1'
_space_group_name_H-M_alt 'P 4/m m m'
_space_group_IT_number 123
_space_group_name_Hall '-P 4 2'
_cell_length_a 4.584
_cell_length_b 4.584
_cell_length_c 4.667
_cell_angle_alpha 90.00
_cell_angle_beta 90.00
_cell_angle_gamma 90.00
loop_
_atom_site_label
_atom_site_type_symbol
_atom_site_fract_x
_atom_site_fract_y
_atom_site_fract_z
Li1 Li 0.000 0.500 0.000
Al1 Al 0.000 0.000 0.500
Sb1 Sb 0.500 0.500 0.500
Ir1 Ir 0.000 0.000 0.000
```

---

(12)
Computed, not measured: a relaxed structure of TbAl4Ni at the PBEsol level of DFT.

Output
The calculation puts the density of states at the Fermi level at 2.16 states/eV/f.u. Its total magnetic moment is 0.00 μB per formula unit. The calculation puts the formation energy at -0.564 eV per atom.

CIF file:
```
data_TbAl4Ni
_chemical_formula_sum 'Tb4 Al16 Ni4'
_space_group_name_H-M_alt 'C m c m'
_space_group_IT_number 63
_space_group_name_Hall '-C 2c 2'
_cell_length_a 4.041
_cell_length_b 15.331
_cell_length_c 6.532
_cell_angle_alpha 90.00
_cell_angle_beta 90.00
_cell_angle_gamma 90.00
loop_
_atom_site_label
_atom_site_type_symbol
_atom_site_fract_x
_atom_site_fract_y
_atom_site_fract_z
Tb1 Tb 0.000 0.117 0.250
Al1 Al 0.000 0.076 0.750
Al2 Al 0.000 0.311 0.052
Al3 Al 0.000 0.500 0.000
Ni1 Ni 0.000 0.226 0.750
```